(1)
This record from Alexandria via LeMat-Bulk describes a relaxed structure of K3U3RhS8. The functional is PBE.

Computed properties:
- Formation energy from raw total energies: -1.223 eV/atom
- DOS(E_F): 14.76 states/eV per cell
- Total moment: 7.3 μB per formula unit
- Density: 5.0 g/cm3
- Total DFT energy (no corrections): -95.879 eV/cell
- Space-group type: No. 166

a b c (Å): 7.6948 7.6929 8.8439
angles (deg): 115.76 89.99 120.00
Closest atoms and distances in Å follow each position.
Sites, in units of the cell vectors:
K 0.0000 0.0000 0.0000  6 S 3.15-3.21
K 0.0000 0.5000 0.0000  6 S 3.15-3.21
K 0.5000 0.5000 0.0000  6 S 3.15-3.21
U 0.5000 0.0000 0.5000  6 S 2.70-2.73
U 0.5000 0.5000 0.5000  6 S 2.71-2.73
U 0.0000 0.5000 0.5000  6 S 2.70-2.73
Rh 0.0000 0.0000 0.5000  6 S 2.57-2.58
S 0.2639 0.5277 0.2914  3 U 2.73
S 0.7361 0.4723 0.7086  3 U 2.73
S 0.7774 0.5547 0.3086  1 Rh 2.57, 2 U 2.71
S 0.2226 0.4453 0.6914  1 Rh 2.57, 2 U 2.71
S 0.7769 0.0314 0.3083  1 Rh 2.58, 2 U 2.70
S 0.2231 0.9686 0.6917  1 Rh 2.58, 2 U 2.70
S 0.2542 0.0313 0.3084  1 Rh 2.58, 2 U 2.71
S 0.7458 0.9687 0.6916  1 Rh 2.58, 2 U 2.71

***

(2)
This record from Alexandria via LeMat-Bulk describes a relaxed structure of K2VRh2S6. The functional is PBE.

Computed properties:
- Formation energy from raw total energies: -0.775 eV/atom
- DOS(E_F): 5.70 states/eV per cell
- Total moment: 1.0 μB per formula unit
- Density: 3.6 g/cm3
- Total DFT energy (no corrections): -59.306 eV/cell
- Space-group type: No. 12

a b c (Å): 6.1865 6.1865 7.5364
angles (deg): 97.95 97.95 119.87
Closest atoms and distances in Å follow each position.
Sites, in units of the cell vectors:
K 0.8331 0.1669 0.0000  6 S 3.14-3.16
K 0.1669 0.8331 0.0000  6 S 3.14-3.16
V 0.0000 0.0000 0.5000  6 S 2.41-2.42
Rh 0.3319 0.6681 0.5000  6 S 2.40-2.41
Rh 0.6681 0.3319 0.5000  6 S 2.40-2.41
S 0.7222 0.7222 0.6713  2 Rh 2.41, 1 V 2.42
S 0.0610 0.3920 0.6725  2 Rh 2.40-2.41, 1 V 2.41
S 0.2778 0.2778 0.3287  2 Rh 2.41, 1 V 2.42
S 0.3920 0.0610 0.6725  2 Rh 2.40-2.41, 1 V 2.41
S 0.9390 0.6080 0.3275  2 Rh 2.40-2.41, 1 V 2.41
S 0.6080 0.9390 0.3275  2 Rh 2.40-2.41, 1 V 2.41

***

(3)
This record from Alexandria via LeMat-Bulk describes a relaxed structure of KZn2RhS. The functional is PBE.

Computed properties:
- Formation energy from raw total energies: 0.622 eV/atom
- DOS(E_F): 3.62 states/eV per cell
- Total moment: 0.0 μB per formula unit
- Density: 4.2 g/cm3
- Total DFT energy (no corrections): -12.012 eV/cell
- Space-group type: No. 123

a b c (Å): 4.6763 5.4913 4.6763
angles (deg): 90.00 90.00 90.00
Closest atoms and distances in Å follow each position.
Sites, in units of the cell vectors:
S 0.0000 0.0000 0.0000  4 Zn 2.34
Zn 0.0000 0.0000 0.5000  2 S 2.34
Zn 0.5000 0.0000 0.0000  2 S 2.34
Rh 0.5000 0.5000 0.5000  4 K 3.31, 8 Zn 3.61
K 0.0000 0.5000 0.0000  2 S 2.75

***

(4)
This record from Alexandria via LeMat-Bulk describes a relaxed structure of K3Zr3RhS8. The functional is PBE.

Computed properties:
- Formation energy from raw total energies: -1.317 eV/atom
- DOS(E_F): 8.32 states/eV per cell
- Total moment: 0.0 μB per formula unit
- Density: 3.5 g/cm3
- Total DFT energy (no corrections): -89.066 eV/cell
- Space-group type: No. 166

a b c (Å): 7.3914 7.3966 8.6824
angles (deg): 115.23 89.99 119.98
Closest atoms and distances in Å follow each position.
Sites, in units of the cell vectors:
K 0.0000 0.0000 0.0000  6 S 3.12-3.15
K 0.0000 0.5000 0.0000  6 S 3.12-3.15
K 0.5000 0.5000 0.0000  6 S 3.12-3.15
Zr 0.5000 0.0000 0.5000  6 S 2.60-2.62
Zr 0.5000 0.5000 0.5000  6 S 2.60-2.61
Zr 0.0000 0.5000 0.5000  6 S 2.60-2.61
Rh 0.0000 0.0000 0.5000  6 S 2.50
S 0.2669 0.5334 0.3003  3 Zr 2.61-2.62
S 0.7331 0.4666 0.6997  3 Zr 2.61-2.62
S 0.7769 0.5538 0.3118  1 Rh 2.50, 2 Zr 2.60
S 0.2231 0.4462 0.6882  1 Rh 2.50, 2 Zr 2.60
S 0.7763 0.0346 0.3111  1 Rh 2.50, 2 Zr 2.60
S 0.2237 0.9654 0.6889  1 Rh 2.50, 2 Zr 2.60
S 0.2578 0.0347 0.3118  1 Rh 2.50, 2 Zr 2.60
S 0.7422 0.9653 0.6882  1 Rh 2.50, 2 Zr 2.60

***

(5)
This record from Alexandria via LeMat-Bulk describes a relaxed structure of KSb3Rh. The functional is PBE.

Computed properties:
- Formation energy from raw total energies: 1.831 eV/atom
- DOS(E_F): 6.03 states/eV per cell
- Total moment: 2.3 μB per formula unit
- Density: 4.6 g/cm3
- Total DFT energy (no corrections): -11.659 eV/cell
- Space-group type: No. 221

a b c (Å): 5.6687 5.6687 5.6687
angles (deg): 90.00 90.00 90.00
Closest atoms and distances in Å follow each position.
Sites, in units of the cell vectors:
Sb 0.0000 0.5000 0.0000  2 K 2.83
Sb 0.0000 0.0000 0.5000  2 K 2.83
Sb 0.5000 0.0000 0.0000  2 K 2.83
K 0.0000 0.0000 0.0000  6 Sb 2.83
Rh 0.5000 0.5000 0.5000  12 Sb 4.01

***

(6)
This record from Alexandria via LeMat-Bulk describes a relaxed structure of K2SbRh. The functional is PBE.

Computed properties:
- Formation energy from raw total energies: -0.063 eV/atom
- DOS(E_F): 5.94 states/eV per cell
- Total moment: 0.0 μB per formula unit
- Density: 2.6 g/cm3
- Total DFT energy (no corrections): -27.844 eV/cell
- Space-group type: No. 122

a b c (Å): 12.5835 12.5835 9.2391
angles (deg): 47.08 47.08 90.00
Closest atoms and distances in Å follow each position.
Sites, in units of the cell vectors:
Sb 0.0000 0.0000 0.0000  2 Rh 2.49
Sb 0.7500 0.2500 0.5000  2 Rh 2.49
K 0.3886 0.1250 0.2500  2 Rh 3.21
K 0.3614 0.6250 0.2500  2 Rh 3.21
K 0.3750 0.6114 0.7500  2 Rh 3.21
K 0.8750 0.6386 0.7500  2 Rh 3.21
Rh 0.5000 0.5000 0.0000  2 Sb 2.49
Rh 0.2500 0.7500 0.5000  2 Sb 2.49

***

(7)
This record from Alexandria via LeMat-Bulk describes a relaxed structure of KSbRh2. The functional is PBE.

Computed properties:
- Formation energy from raw total energies: 0.347 eV/atom
- DOS(E_F): 2.85 states/eV per cell
- Total moment: 1.2 μB per formula unit
- Density: 7.0 g/cm3
- Total DFT energy (no corrections): -18.536 eV/cell
- Space-group type: No. 160

a b c (Å): 9.7782 9.7782 9.7782
angles (deg): 19.04 19.04 19.04
Closest atoms and distances in Å follow each position.
Sites, in units of the cell vectors:
K 0.7443 0.7443 0.7443  3 Rh 3.22, 6 K 3.23
Rh 0.9864 0.9864 0.9864  3 Rh 2.74
Rh 0.2501 0.2501 0.2501  3 Sb 2.63, 3 Rh 2.74
Sb 0.5193 0.5193 0.5193  3 Rh 2.63

***

(8)
This record from Alexandria via LeMat-Bulk describes a relaxed structure of K2SbRh. The functional is PBE.

Computed properties:
- Formation energy from raw total energies: -0.151 eV/atom
- DOS(E_F): 1.84 states/eV per cell
- Total moment: 0.0 μB per formula unit
- Density: 3.8 g/cm3
- Total DFT energy (no corrections): -14.275 eV/cell
- Space-group type: No. 99

a b c (Å): 3.5846 3.5855 10.2273
angles (deg): 90.00 90.00 90.00
Closest atoms and distances in Å follow each position.
Sites, in units of the cell vectors:
K 0.0000 0.0000 0.9192  1 Rh 3.51, 4 K 3.58-3.59, 4 Sb 3.59
K 0.5000 0.5000 0.3342  1 Sb 3.44, 4 Rh 3.54, 4 K 3.58-3.59
Rh 0.0000 0.0000 0.5764  4 Sb 2.71
Sb 0.5000 0.5000 0.6702  4 Rh 2.71

***

(9)
This record from Alexandria via LeMat-Bulk describes a relaxed structure of K2SbRh2. The functional is PBE.

Computed properties:
- Formation energy from raw total energies: -0.047 eV/atom
- DOS(E_F): 4.01 states/eV per cell
- Total moment: 0.0 μB per formula unit
- Density: 5.4 g/cm3
- Total DFT energy (no corrections): -42.507 eV/cell
- Space-group type: No. 127

a b c (Å): 6.6570 6.6570 5.6470
angles (deg): 90.00 90.00 90.00
Closest atoms and distances in Å follow each position.
Sites, in units of the cell vectors:
Sb 0.0000 0.0000 0.0000  4 Rh 2.59
Sb 0.5000 0.5000 0.0000  4 Rh 2.59
K 0.1753 0.6753 0.5000  5 K 3.30-3.47, 6 Rh 3.34-3.51
K 0.6753 0.8247 0.5000  5 K 3.30-3.47, 6 Rh 3.34-3.51
K 0.8247 0.3247 0.5000  5 K 3.30-3.47, 6 Rh 3.34-3.51
K 0.3247 0.1753 0.5000  5 K 3.30-3.47, 6 Rh 3.34-3.51
Rh 0.3644 0.8644 0.0000  1 Rh 2.55, 2 Sb 2.59
Rh 0.8644 0.6356 0.0000  1 Rh 2.55, 2 Sb 2.59
Rh 0.6356 0.1356 0.0000  1 Rh 2.55, 2 Sb 2.59
Rh 0.1356 0.3644 0.0000  1 Rh 2.55, 2 Sb 2.59

***

(10)
This record from Alexandria via LeMat-Bulk describes a relaxed structure of KSbRh2. The functional is PBE.

Computed properties:
- Formation energy from raw total energies: 0.537 eV/atom
- DOS(E_F): 5.57 states/eV per cell
- Total moment: 1.0 μB per formula unit
- Density: 7.7 g/cm3
- Total DFT energy (no corrections): -17.773 eV/cell
- Space-group type: No. 216

a b c (Å): 4.8091 4.8091 4.8091
angles (deg): 60.00 60.00 60.00
Closest atoms and distances in Å follow each position.
Sites, in units of the cell vectors:
K 0.5000 0.5000 0.5000  4 Sb 2.94, 4 Rh 2.94
Rh 0.0000 0.0000 0.0000  4 Rh 2.94, 4 Sb 2.94
Rh 0.2500 0.2500 0.2500  4 K 2.94, 4 Rh 2.94
Sb 0.7500 0.7500 0.7500  4 Rh 2.94, 4 K 2.94

***

(11)
This record from Alexandria via LeMat-Bulk describes a relaxed structure of KSbRh2. The functional is PBE.

Computed properties:
- Formation energy from raw total energies: 0.297 eV/atom
- DOS(E_F): 2.69 states/eV per cell
- Total moment: 0.0 μB per formula unit
- Density: 8.2 g/cm3
- Total DFT energy (no corrections): -18.737 eV/cell
- Space-group type: No. 123

a b c (Å): 4.6962 4.6962 3.3839
angles (deg): 90.00 90.00 90.03
Closest atoms and distances in Å follow each position.
Sites, in units of the cell vectors:
K 0.0000 0.5000 0.5000  8 Rh 2.89
Rh 0.0000 0.0000 0.0000  4 Sb 2.89, 4 K 2.89
Rh 0.5000 0.5000 0.0000  4 K 2.89, 4 Sb 2.89
Sb 0.5000 0.0000 0.5000  8 Rh 2.89

***

(12)
This record from Alexandria via LeMat-Bulk describes a relaxed structure of KSbRh3. The functional is PBE.

Computed properties:
- Formation energy from raw total energies: 1.881 eV/atom
- DOS(E_F): 7.43 states/eV per cell
- Total moment: 0.8 μB per formula unit
- Density: 7.3 g/cm3
- Total DFT energy (no corrections): -17.867 eV/cell
- Space-group type: No. 221

a b c (Å): 4.7526 4.7526 4.7526
angles (deg): 90.00 90.00 90.00
Closest atoms and distances in Å follow each position.
Sites, in units of the cell vectors:
Sb 0.5000 0.5000 0.5000  12 Rh 3.36
K 0.0000 0.0000 0.0000  6 Rh 2.38
Rh 0.0000 0.5000 0.0000  2 K 2.38
Rh 0.0000 0.0000 0.5000  2 K 2.38
Rh 0.5000 0.0000 0.0000  2 K 2.38

***

> What is the formula in the fourth record?

K3Zr3RhS8

***

> Which value of formation energy from raw total energies does entry 3 give?

0.622 eV/atom

***

> Among the records above, which one has the lowest total DFT energy (no corrections)?

K3U3RhS8